Below is an optimized crystal structure of SrPuBiPb, with properties calculated at the PBE level.

a b c (Å): 5.685 5.685 5.685
angles (deg): 60.00 60.00 60.00
Element x y z (fractional)
Pb  0.500  0.500  0.500
Sr  0.250  0.250  0.250
Bi  0.000  0.000  0.000
Pu  0.750  0.750  0.750

Output
Symmetry = F-43m
Raw total energy = -6.21 eV/atom
Magnetization = 5.855 μB/f.u.